[1]
The following is a DFT calculation (PBE) of BeAl2Re after structural relaxation.

Lattice parameters (Å, degrees): 3.730 3.730 3.830 90.00 90.00 90.00
Space group P4/mmm (No. 123)
Asymmetric unit:
Be 0.000 0.000 0.000 (multiplicity 1)
Al 0.000 0.500 0.500 (multiplicity 2)
Re 0.500 0.500 0.000 (multiplicity 1)

Summary:
**Density**: 7.8 g/cm³
**Crystal system**: tetragonal
**Raw total energy**: -23.606 eV for the cell shown



[2]
The following is a DFT calculation (PBE) of BeAlRe after structural relaxation.

Lattice parameters (Å, degrees): 9.229 3.331 6.288 90.00 127.09 90.00
Space group C2/m (No. 12)
Asymmetric unit:
Be 0.134 0.000 0.178 (multiplicity 4)
Al 0.082 0.500 0.852 (multiplicity 4)
Re 0.164 0.000 0.581 (multiplicity 4)

Summary:
**Density**: 9.6 g/cm³
**Crystal system**: monoclinic
**Distance to the lowest polymorph of the same formula**: 111 meV per atom
**Raw total energy**: -79.630 eV for the cell shown



[3]
The following is a DFT calculation (PBE) of BeAlRe2 after structural relaxation.

Lattice parameters (Å, degrees): 9.253 3.022 4.202 90.00 116.76 90.00
Space group Cm (No. 8)
Asymmetric unit:
Be 0.000 0.000 0.000 (multiplicity 2)
Al 0.260 0.000 0.759 (multiplicity 2)
Re 0.232 0.500 0.231 (multiplicity 2)
Re 0.498 0.000 0.497 (multiplicity 2)

Summary:
**Density**: 12.9 g/cm³
**Crystal system**: monoclinic
**Distance to the lowest polymorph of the same formula**: 217 meV per atom
**Raw total energy**: -64.858 eV for the cell shown



[4]
The following is a DFT calculation (PBE) of BeAlRe after structural relaxation.

Lattice parameters (Å, degrees): 3.101 4.343 11.882 90.00 90.00 90.00
Space group Fmm2 (No. 42)
Asymmetric unit:
Be 0.000 0.000 0.000 (multiplicity 4)
Al 0.000 0.000 0.668 (multiplicity 4)
Re 0.000 0.000 0.348 (multiplicity 4)

Summary:
**Density**: 9.2 g/cm³
**Crystal system**: orthorhombic
**Distance to the lowest polymorph of the same formula**: 284 meV per atom
**Raw total energy**: -77.550 eV for the cell shown



[5]
The following is a DFT calculation (PBE) of BeAl2Re after structural relaxation.

Lattice parameters (Å, degrees): 2.7998 2.7998 24.6659 90.00 90.00 120.00
Space group R-3m (No. 166, hexagonal axes)
Asymmetric unit:
Be 0.0000 0.0000 0.0000 (multiplicity 3)
Al 0.0000 0.0000 0.2548 (multiplicity 6)
Re 0.0000 0.0000 0.5000 (multiplicity 3)

Summary:
**Density**: 7.4 g/cm³
**Crystal system**: trigonal
**Raw total energy**: -69.688 eV for the cell shown



[6]
The following is a DFT calculation (PBE) of Be3AlRe after structural relaxation.

Lattice parameters (Å, degrees): 4.230 4.230 4.230 90.00 90.00 90.00
Space group Pm-3m (No. 221)
Asymmetric unit:
Be 0.000 0.000 0.500 (multiplicity 3)
Al 0.500 0.500 0.500 (multiplicity 1)
Re 0.000 0.000 0.000 (multiplicity 1)

Summary:
**Density**: 5.3 g/cm³
**Crystal system**: cubic
**Distance to the lowest polymorph of the same formula**: 0 meV per atom
**Raw total energy**: -22.330 eV for the cell shown



[7]
The following is a DFT calculation (PBE) of BeAlRe2 after structural relaxation.

Lattice parameters (Å, degrees): 5.943 5.978 6.046 90.00 90.00 90.00
Space group F222 (No. 22)
Asymmetric unit:
Be 0.000 0.000 0.000 (multiplicity 4)
Al 0.250 0.250 0.750 (multiplicity 4)
Re 0.000 0.000 0.500 (multiplicity 4)
Re 0.250 0.250 0.250 (multiplicity 4)

Summary:
**Density**: 12.6 g/cm³
**Crystal system**: orthorhombic
**Distance to the lowest polymorph of the same formula**: 139 meV per atom
**Raw total energy**: -130.970 eV for the cell shown



[8]
The following is a DFT calculation (PBE) of BeAlRe2 after structural relaxation.

Lattice parameters (Å, degrees): 2.667 4.065 5.088 90.00 100.36 90.00
Space group P2/m (No. 10)
Asymmetric unit:
Be 0.000 0.000 0.000 (multiplicity 1)
Al 0.500 0.000 0.500 (multiplicity 1)
Re 0.235 0.500 0.759 (multiplicity 2)

Summary:
**Density**: 12.5 g/cm³
**Crystal system**: monoclinic
**Distance to the lowest polymorph of the same formula**: 285 meV per atom
**Raw total energy**: -32.159 eV for the cell shown



[9]
The following is a DFT calculation (PBE) of BeAlRe2 after structural relaxation.

Lattice parameters (Å, degrees): 9.210 3.039 4.359 90.00 118.05 90.00
Space group C2/m (No. 12)
Asymmetric unit:
Be 0.000 0.000 0.000 (multiplicity 2)
Al 0.000 0.500 0.500 (multiplicity 2)
Re 0.238 0.500 0.238 (multiplicity 4)

Summary:
**Density**: 12.6 g/cm³
**Crystal system**: monoclinic
**Distance to the lowest polymorph of the same formula**: 245 meV per atom
**Raw total energy**: -64.634 eV for the cell shown



[10]
The following is a DFT calculation (PBE) of BeAlRe2 after structural relaxation.

Lattice parameters (Å, degrees): 3.088 4.098 4.287 90.00 90.00 90.00
Space group Pmmm (No. 47)
Asymmetric unit:
Be 0.000 0.000 0.000 (multiplicity 1)
Al 0.500 0.000 0.500 (multiplicity 1)
Re 0.000 0.500 0.500 (multiplicity 1)
Re 0.500 0.500 0.000 (multiplicity 1)

Summary:
**Density**: 12.5 g/cm³
**Crystal system**: orthorhombic
**Distance to the lowest polymorph of the same formula**: 275 meV per atom
**Raw total energy**: -32.198 eV for the cell shown



[11]
The following is a DFT calculation (PBE) of BeAl2Re after structural relaxation.

Lattice parameters (Å, degrees): 2.680 4.407 4.628 90.00 90.00 90.00
Space group Pmm2 (No. 25)
Asymmetric unit:
Be 0.000 0.000 0.000 (multiplicity 1)
Al 0.500 0.000 0.517 (multiplicity 1)
Al 0.500 0.500 0.176 (multiplicity 1)
Re 0.000 0.500 0.691 (multiplicity 1)

Summary:
**Density**: 7.6 g/cm³
**Crystal system**: orthorhombic
**Raw total energy**: -23.985 eV for the cell shown



[12]
The following is a DFT calculation (PBE) of BeAl2Re after structural relaxation.

Lattice parameters (Å, degrees): 3.178 3.267 5.247 90.00 90.00 90.00
Space group Pmmm (No. 47)
Asymmetric unit:
Be 0.000 0.000 0.000 (multiplicity 1)
Al 0.500 0.500 0.249 (multiplicity 2)
Re 0.000 0.000 0.500 (multiplicity 1)

Summary:
**Density**: 7.6 g/cm³
**Crystal system**: orthorhombic
**Raw total energy**: -23.933 eV for the cell shown



Values of E_form, in order: 0.013 0.003 -0.016 0.176 0.108 1.008 -0.094 0.051 0.012 0.042 -0.082 -0.068, all in eV/atom.